The following is a PBE calculation of an optimized crystal structure of TlAs2P, from the Alexandria database.

Cell lengths 6.9097, 6.9097, 6.9097 Å; angles 90.00, 90.00, 90.00 degrees
Space group Fm-3m (No. 225)
Inequivalent atoms, fractional coordinates:
Tl  0.0000  0.0000  0.0000
As  0.2500  0.2500  0.2500
P  0.0000  0.0000  0.5000

Results
* density: 7.8 g/cm³
* volume: 330 Å³ per cell

=====

The following is a PBE calculation of an optimized crystal structure of TlAsP2, from the Alexandria database.

Cell lengths 3.1807, 5.8860, 9.5238 Å; angles 90.00, 90.00, 90.00 degrees
Space group Imm2 (No. 44)
Inequivalent atoms, fractional coordinates:
Tl  0.0000  0.0000  0.0000
As  0.0000  0.5000  0.8215
P  0.0000  0.0000  0.5287
P  0.0000  0.5000  0.1904

Results
* density: 6.4 g/cm³
* volume: 178 Å³ per cell

=====

The following is a PBE calculation of an optimized crystal structure of TlAsP2, from the Alexandria database.

Cell lengths 3.8691, 3.8463, 5.4953 Å; angles 90.00, 90.23, 90.00 degrees
Space group P2/m (No. 10)
Inequivalent atoms, fractional coordinates:
Tl  0.0000  0.0000  0.0000
As  0.5000  0.5000  0.5000
P  0.0000  0.0000  0.5000
P  0.5000  0.5000  0.0000

Results
* density: 6.9 g/cm³
* volume: 82 Å³ per cell

=====

The following is a PBE calculation of an optimized crystal structure of TlAs2P, from the Alexandria database.

Cell lengths 5.8243, 5.8243, 13.2306 Å; angles 90.00, 90.00, 90.00 degrees
Space group I-42d (No. 122)
Inequivalent atoms, fractional coordinates:
Tl  0.0000  0.0000  0.0000
As  0.1875  0.2500  0.6250
P  0.0000  0.0000  0.5000

Results
* density: 5.7 g/cm³
* volume: 449 Å³ per cell

=====

The following is a PBE calculation of an optimized crystal structure of TlAsP2, from the Alexandria database.

Cell lengths 6.7772, 6.7772, 6.7772 Å; angles 90.00, 90.00, 90.00 degrees
Space group F-43m (No. 216)
Inequivalent atoms, fractional coordinates:
Tl  0.0000  0.0000  0.0000
As  0.2500  0.2500  0.2500
P  0.0000  0.0000  0.5000
P  0.2500  0.2500  0.7500

Results
* density: 7.3 g/cm³
* volume: 311 Å³ per cell

=====

The following is a PBE calculation of an optimized crystal structure of ZrTlAsP2, from the Alexandria database.

Cell lengths 4.7369, 4.7369, 5.1626 Å; angles 90.00, 90.00, 90.00 degrees
Space group P4/mmm (No. 123)
Inequivalent atoms, fractional coordinates:
Zr  0.0000  0.0000  0.0000
Tl  0.5000  0.5000  0.0000
As  0.5000  0.5000  0.5000
P  0.0000  0.5000  0.5000

Results
* density: 6.2 g/cm³
* volume: 116 Å³ per cell

=====

The following is a PBE calculation of an optimized crystal structure of Tm5AsP4, from the Alexandria database.

Cell lengths 8.8806, 8.8806, 5.6186 Å; angles 90.00, 90.00, 90.00 degrees
Space group I4/m (No. 87)
Inequivalent atoms, fractional coordinates:
Tm  0.0000  0.0000  0.0000
Tm  0.1016  0.6956  0.5000
As  0.0000  0.0000  0.5000
P  0.1010  0.7000  0.0000

Results
* density: 7.8 g/cm³
* volume: 443 Å³ per cell

=====

The following is a PBE calculation of an optimized crystal structure of Tm4AsP3, from the Alexandria database.

Cell lengths 7.9561, 11.2485, 3.9755 Å; angles 90.00, 90.00, 90.00 degrees
Space group Cmmm (No. 65)
Inequivalent atoms, fractional coordinates:
Tm  0.0000  0.2476  0.0000
Tm  0.2452  0.0000  0.5000
As  0.0000  0.5000  0.0000
P  0.0000  0.0000  0.0000
P  0.2500  0.2500  0.5000

Results
* density: 7.9 g/cm³
* volume: 356 Å³ per cell

=====

The following is a PBE calculation of an optimized crystal structure of Tm4As3P, from the Alexandria database.

Cell lengths 6.9880, 8.0774, 6.9856 Å; angles 90.00, 109.51, 90.00 degrees
Space group P2/c (No. 13)
Inequivalent atoms, fractional coordinates:
Tm  0.2445  0.1218  0.0008
Tm  0.2481  0.3718  0.4967
As  0.0000  0.3745  0.7500
As  0.5000  0.1248  0.7500
As  0.5000  0.3746  0.2500
P  0.0000  0.1244  0.2500

Results
* density: 8.3 g/cm³
* volume: 372 Å³ per cell

=====

The following is a PBE calculation of an optimized crystal structure of Tm3As2P, from the Alexandria database.

Cell lengths 8.0505, 11.3864, 24.1380 Å; angles 90.00, 90.00, 90.00 degrees
Space group Fddd (No. 70, origin choice 2)
Inequivalent atoms, fractional coordinates:
Tm  0.1191  0.3750  0.3750
Tm  0.1223  0.3724  0.2095
As  0.1250  0.1250  0.3754
As  0.1250  0.1250  0.5422
P  0.1250  0.1250  0.0417

Results
* density: 8.3 g/cm³
* volume: 2213 Å³ per cell

=====

The following is a PBE calculation of an optimized crystal structure of Tm3AsP2, from the Alexandria database.

Cell lengths 3.9871, 3.9871, 16.9098 Å; angles 90.00, 90.00, 90.00 degrees
Space group I4/mmm (No. 139)
Inequivalent atoms, fractional coordinates:
Tm  0.0000  0.0000  0.0000
Tm  0.0000  0.0000  0.3306
As  0.0000  0.0000  0.5000
P  0.0000  0.0000  0.1666

Results
* density: 8.0 g/cm³
* volume: 269 Å³ per cell

=====

The following is a PBE calculation of an optimized crystal structure of Tm5As4P, from the Alexandria database.

Cell lengths 9.0362, 9.0362, 5.7165 Å; angles 90.00, 90.00, 90.00 degrees
Space group I4/m (No. 87)
Inequivalent atoms, fractional coordinates:
Tm  0.0000  0.0000  0.0000
Tm  0.0986  0.2953  0.5000
As  0.0988  0.3002  0.0000
P  0.0000  0.0000  0.5000

Results
* density: 8.4 g/cm³
* volume: 467 Å³ per cell

=====

no.,final energy (eV/cell),formation enthalpy at 0 K (kJ/mol of atoms),M_tot (Bohr magnetons per cell)
1,-58.6,58,0.0
2,-32.8,35,0.0
3,-16.4,36,0.0
4,-63.4,30,0.0
5,-59.6,71,0.0
6,-22.2,81,0.0
7,-129.0,-153,0.0
8,-102.8,-152,0.0
9,-98.9,-147,0.0
10,-597.5,-148,0.0
11,-76.6,-151,0.0
12,-123.2,-147,0.0